Entry 1:
NaCaTa: relaxed, GGA-PBE.

Cell and atoms, written as POSCAR:
```
NaCaTa
1.0
3.864 0.000 0.000
0.000 3.864 0.000
0.000 0.000 11.791
Ca Ta Na
2 2 2
Direct
0.000 0.000 0.500
0.500 0.500 0.500
0.000 0.500 0.962
0.500 0.000 0.038
0.000 0.500 0.230
0.500 0.000 0.770
```

Properties
energy relative to the elements = 1.18 eV/atom
energy above the lowest structure with this stoichiometry = 0.939 eV per atom

---

Entry 2:
NaCaTa: relaxed, GGA-PBE.

Cell and atoms, written as POSCAR:
```
NaCaTa
1.0
-2.118 -8.513 -3.838
3.668 2.877 -3.839
3.097 -0.618 1.063
Na Ta Ca
2 2 2
Direct
0.405 0.732 0.330
0.595 0.268 0.670
0.074 0.657 0.706
0.926 0.343 0.294
0.812 0.831 0.990
0.188 0.169 0.010
```

Properties
energy relative to the elements = 0.53 eV/atom
energy above the lowest structure with this stoichiometry = 0.294 eV per atom

---

Entry 3:
NaCaTa: relaxed, GGA-PBE.

Cell and atoms, written as POSCAR:
```
NaCaTa
1.0
-5.738 6.783 -2.903
-4.006 2.394 5.185
1.960 4.422 4.124
Na Ta Ca
4 4 4
Direct
0.670 0.919 0.991
0.170 0.419 0.491
0.830 0.581 0.509
0.330 0.081 0.009
0.350 0.600 0.950
0.650 0.400 0.050
0.850 0.100 0.450
0.150 0.900 0.550
0.500 0.000 0.500
0.000 0.000 0.000
0.000 0.500 0.000
0.500 0.500 0.500
```

Properties
energy relative to the elements = 0.69 eV/atom
energy above the lowest structure with this stoichiometry = 0.449 eV per atom

---

Entry 4:
NaCaTa: relaxed, GGA-PBE.

Cell and atoms, written as POSCAR:
```
NaCaTa
1.0
3.857 -0.003 -0.007
-0.006 16.884 0.100
1.929 -0.052 2.594
Ca Ta Na
2 2 2
Direct
0.014 0.120 0.235
0.003 0.503 0.256
0.543 0.967 0.177
0.975 0.859 0.312
0.490 0.694 0.278
0.510 0.314 0.242
```

Properties
energy relative to the elements = 0.46 eV/atom
energy above the lowest structure with this stoichiometry = 0.221 eV per atom

---

Entry 5:
NaCaTa: relaxed, GGA-PBE.

Cell and atoms, written as POSCAR:
```
NaCaTa
1.0
-5.332 -0.589 -0.356
-3.258 3.928 1.692
-2.793 2.899 -3.565
Na Ta Ca
1 1 1
Direct
0.250 0.250 0.250
0.500 0.500 0.500
0.750 0.750 0.750
```

Properties
energy relative to the elements = 1.71 eV/atom
energy above the lowest structure with this stoichiometry = 1.471 eV per atom

---

Entry 6:
NaCaTa: relaxed, GGA-PBE.

Cell and atoms, written as POSCAR:
```
NaCaTa
1.0
2.486 1.762 -4.561
-5.476 -0.207 0.234
-0.244 11.182 4.187
Ta Ca Na
2 2 2
Direct
0.000 0.000 0.500
0.000 0.000 0.000
0.000 0.000 0.250
0.000 0.000 0.750
0.333 0.667 0.250
0.667 0.333 0.750
```

Properties
energy relative to the elements = 2.48 eV/atom
energy above the lowest structure with this stoichiometry = 2.244 eV per atom

---

Entry 7:
NaCaTa3: relaxed, GGA-PBE.

Cell and atoms, written as POSCAR:
```
NaCaTa3
1.0
4.865 0.000 0.000
0.000 4.865 0.000
0.000 0.000 4.865
Ta Na Ca
3 1 1
Direct
0.500 0.000 0.000
0.000 0.000 0.500
0.000 0.500 0.000
0.000 0.000 0.000
0.500 0.500 0.500
```

Properties
energy relative to the elements = 2.16 eV/atom
energy above the lowest structure with this stoichiometry = 0.000 eV per atom

---

Entry 8:
NaCaTa: relaxed, GGA-PBE.

Cell and atoms, written as POSCAR:
```
NaCaTa
1.0
17.431 0.000 -0.023
0.799 1.946 -2.488
-0.799 1.946 2.488
Na Ca Ta
2 2 2
Direct
0.574 0.504 0.496
0.383 0.223 0.777
0.189 0.919 0.081
0.768 0.803 0.197
0.034 0.596 0.404
0.923 0.125 0.875
```

Properties
energy relative to the elements = 0.38 eV/atom
energy above the lowest structure with this stoichiometry = 0.138 eV per atom